1.
# SiH3F, relaxed, DFT PBE
# **Relative energy among the computed polymorphs**: 0.003 eV/atom
# **M_tot**: 0.000 μB/f.u.
data_SiH3F
_chemical_formula_sum 'Si2 H6 F2'
_cell_length_a 4.5077
_cell_length_b 4.8099
_cell_length_c 6.9692
_cell_angle_alpha 90.01
_cell_angle_beta 90.09
_cell_angle_gamma 90.10
_space_group_name_H-M_alt 'P 1'
_space_group_IT_number 1
loop_
_space_group_symop_operation_xyz
'x,y,z'
loop_
_atom_site_label
_atom_site_fract_x
_atom_site_fract_y
_atom_site_fract_z
Si1 0.0000 0.0000 0.0000
Si2 0.3973 0.4998 0.5000
H1 0.4802 0.2004 0.4995
H2 0.4927 0.6432 0.3222
H3 0.4937 0.6422 0.6783
H4 0.9042 0.1424 0.8218
H5 0.9050 0.1435 0.1778
H6 0.9159 0.7006 0.0004
F1 0.0331 0.5098 0.5001
F2 0.3642 0.0099 0.0000

***

2.
# SiHF2, relaxed, DFT PBE
# **Relative energy among the computed polymorphs**: 0.000 eV/atom
# **M_tot**: 0.000 μB/f.u.
data_SiHF2
_chemical_formula_sum 'Si3 H3 F6'
_cell_length_a 2.7846
_cell_length_b 2.7846
_cell_length_c 18.3259
_cell_angle_alpha 90.00
_cell_angle_beta 90.00
_cell_angle_gamma 120.00
_space_group_name_H-M_alt 'R -3 m'
_space_group_IT_number 166
_space_group_name_Hall '-R 3 2"'
loop_
_atom_site_label
_atom_site_fract_x
_atom_site_fract_y
_atom_site_fract_z
Si1 0.0000 0.0000 0.0000
H1 0.0000 0.0000 0.5000
F1 0.0000 0.0000 0.4374

***

3.
# Si2HF6, relaxed, DFT PBE
# **Energy**: -138.36 eV for the cell shown
# **M_tot**: 1.000 μB/f.u.
data_Si2HF6
_chemical_formula_sum 'Si6 H3 F18'
_cell_length_a 5.2517
_cell_length_b 5.2517
_cell_length_c 18.4191
_cell_angle_alpha 90.00
_cell_angle_beta 90.00
_cell_angle_gamma 120.00
_space_group_name_H-M_alt 'R 3'
_space_group_IT_number 146
_space_group_name_Hall 'R 3'
loop_
_atom_site_label
_atom_site_fract_x
_atom_site_fract_y
_atom_site_fract_z
Si1 0.0000 0.0000 0.0000
Si2 0.0000 0.0000 0.1273
H1 0.0000 0.0000 0.3979
F1 0.0639 0.3686 0.6366
F2 0.0666 0.6994 0.8242

***

4.
# SiH3F, relaxed, DFT PBE
# **Relative energy among the computed polymorphs**: 1.717 eV/atom
# **M_tot**: 0.000 μB/f.u.
data_SiH3F
_chemical_formula_sum 'Si1 H3 F1'
_cell_length_a 3.3816
_cell_length_b 3.3816
_cell_length_c 3.3816
_cell_angle_alpha 90.00
_cell_angle_beta 90.00
_cell_angle_gamma 90.00
_space_group_name_H-M_alt 'P m -3 m'
_space_group_IT_number 221
_space_group_name_Hall '-P 4 2 3'
loop_
_atom_site_label
_atom_site_fract_x
_atom_site_fract_y
_atom_site_fract_z
Si1 0.0000 0.0000 0.0000
H1 0.0000 0.5000 0.5000
F1 0.5000 0.5000 0.5000

***

5.
# SiH6F12, relaxed, DFT PBE
# **Relative energy among the computed polymorphs**: 0.029 eV/atom
# **M_tot**: 2.144 μB/f.u.
data_SiH6F12
_chemical_formula_sum 'Si3 H18 F36'
_cell_length_a 8.5261
_cell_length_b 8.5261
_cell_length_c 10.0757
_cell_angle_alpha 90.00
_cell_angle_beta 90.00
_cell_angle_gamma 120.00
_space_group_name_H-M_alt 'R -3'
_space_group_IT_number 148
_space_group_name_Hall '-R 3'
loop_
_atom_site_label
_atom_site_fract_x
_atom_site_fract_y
_atom_site_fract_z
Si1 0.0000 0.0000 0.0000
H1 0.0548 0.1543 0.6320
F1 0.0060 0.1750 0.3711
F2 0.0190 0.1704 0.9022

***

6.
# SiHF2, relaxed, DFT PBE
# **Relative energy among the computed polymorphs**: 0.587 eV/atom
# **M_tot**: 1.000 μB/f.u.
data_SiHF2
_chemical_formula_sum 'Si4 H4 F8'
_cell_length_a 5.5225
_cell_length_b 5.5225
_cell_length_c 5.5225
_cell_angle_alpha 90.00
_cell_angle_beta 90.00
_cell_angle_gamma 90.00
_space_group_name_H-M_alt 'F m -3 m'
_space_group_IT_number 225
_space_group_name_Hall '-F 4 2 3'
loop_
_atom_site_label
_atom_site_fract_x
_atom_site_fract_y
_atom_site_fract_z
Si1 0.0000 0.0000 0.0000
H1 0.0000 0.0000 0.5000
F1 0.2500 0.2500 0.2500

***

7.
# SiH3F, relaxed, DFT PBE
# **Relative energy among the computed polymorphs**: 0.009 eV/atom
# **M_tot**: 0.000 μB/f.u.
data_SiH3F
_chemical_formula_sum 'Si4 H12 F4'
_cell_length_a 7.4446
_cell_length_b 5.4065
_cell_length_c 7.6213
_cell_angle_alpha 90.00
_cell_angle_beta 90.00
_cell_angle_gamma 90.00
_space_group_name_H-M_alt 'I m a 2'
_space_group_IT_number 46
loop_
_space_group_symop_operation_xyz
'x,y,z'
'-x,-y,z'
'-x+1/2,y,z'
'x+1/2,-y,z'
'x+1/2,y+1/2,z+1/2'
'-x+1/2,-y+1/2,z+1/2'
'-x,y+1/2,z+1/2'
'x,-y+1/2,z+1/2'
loop_
_atom_site_label
_atom_site_fract_x
_atom_site_fract_y
_atom_site_fract_z
Si1 0.2500 0.1788 0.0000
H1 0.0840 0.1693 0.5006
H2 0.2500 0.5097 0.3580
F1 0.2500 0.0263 0.1864

***

8.
# SiHF2, relaxed, DFT PBE
# **Relative energy among the computed polymorphs**: 0.575 eV/atom
# **M_tot**: 0.000 μB/f.u.
data_SiHF2
_chemical_formula_sum 'Si4 H4 F8'
_cell_length_a 4.5577
_cell_length_b 4.5577
_cell_length_c 7.4927
_cell_angle_alpha 90.00
_cell_angle_beta 90.00
_cell_angle_gamma 90.00
_space_group_name_H-M_alt 'I -4 2 d'
_space_group_IT_number 122
_space_group_name_Hall 'I -4 2bw'
loop_
_atom_site_label
_atom_site_fract_x
_atom_site_fract_y
_atom_site_fract_z
Si1 0.0000 0.0000 0.0000
H1 0.0000 0.0000 0.5000
F1 0.0790 0.2500 0.6250

***

9.
# SiHF3, relaxed, DFT PBE
# **Relative energy among the computed polymorphs**: 0.794 eV/atom
# **M_tot**: 0.994 μB/f.u.
data_SiHF3
_chemical_formula_sum 'Si1 H1 F3'
_cell_length_a 3.8522
_cell_length_b 3.8522
_cell_length_c 3.8522
_cell_angle_alpha 90.00
_cell_angle_beta 90.00
_cell_angle_gamma 90.00
_space_group_name_H-M_alt 'P m -3 m'
_space_group_IT_number 221
_space_group_name_Hall '-P 4 2 3'
loop_
_atom_site_label
_atom_site_fract_x
_atom_site_fract_y
_atom_site_fract_z
Si1 0.0000 0.0000 0.0000
H1 0.5000 0.5000 0.5000
F1 0.0000 0.0000 0.5000

***

10.
# Si2HF8, relaxed, DFT PBE
# **Energy**: -115.92 eV for the cell shown
# **M_tot**: 1.000 μB/f.u.
data_Si2HF8
_chemical_formula_sum 'Si4 H2 F16'
_cell_length_a 9.2255
_cell_length_b 8.1052
_cell_length_c 4.8078
_cell_angle_alpha 90.00
_cell_angle_beta 94.78
_cell_angle_gamma 90.00
_space_group_name_H-M_alt 'C 1 2/m 1'
_space_group_IT_number 12
loop_
_space_group_symop_operation_xyz
'x,y,z'
'-x,-y,-z'
'-x,y,-z'
'x,-y,z'
'x+1/2,y+1/2,z'
'-x+1/2,-y+1/2,-z'
'-x+1/2,y+1/2,-z'
'x+1/2,-y+1/2,z'
loop_
_atom_site_label
_atom_site_fract_x
_atom_site_fract_y
_atom_site_fract_z
Si1 0.2449 0.0000 0.0715
H1 0.0000 0.0000 0.5000
F1 0.0984 0.5000 0.7709
F2 0.1564 0.1579 0.1537
F3 0.2439 0.5000 0.2550

***

11.
# SiHF3, relaxed, DFT PBE
# **Relative energy among the computed polymorphs**: 1.211 eV/atom
# **M_tot**: 0.000 μB/f.u.
data_SiHF3
_chemical_formula_sum 'Si1 H1 F3'
_cell_length_a 3.5377
_cell_length_b 3.5377
_cell_length_c 3.5377
_cell_angle_alpha 90.00
_cell_angle_beta 90.00
_cell_angle_gamma 90.00
_space_group_name_H-M_alt 'P m -3 m'
_space_group_IT_number 221
_space_group_name_Hall '-P 4 2 3'
loop_
_atom_site_label
_atom_site_fract_x
_atom_site_fract_y
_atom_site_fract_z
Si1 0.0000 0.0000 0.0000
H1 0.5000 0.5000 0.5000
F1 0.0000 0.5000 0.5000

***

12.
# SiH2F3, relaxed, DFT PBE
# **Energy**: -80.06 eV for the cell shown
# **M_tot**: 0.000 μB/f.u.
data_SiH2F3
_chemical_formula_sum 'Si3 H6 F9'
_cell_length_a 5.4584
_cell_length_b 5.4584
_cell_length_c 6.7539
_cell_angle_alpha 90.00
_cell_angle_beta 90.00
_cell_angle_gamma 120.00
_space_group_name_H-M_alt 'R -3 m'
_space_group_IT_number 166
_space_group_name_Hall '-R 3 2"'
loop_
_atom_site_label
_atom_site_fract_x
_atom_site_fract_y
_atom_site_fract_z
Si1 0.0000 0.0000 0.0000
H1 0.0000 0.0000 0.4453
F1 0.0000 0.5000 0.5000